Record 1
This record from Alexandria via LeMat-Bulk describes crystalline SrTlGe2H at its relaxed geometry. The functional is PBEsol.

Output
- Density: 3.54 g cm⁻³
- Uncorrected energy: -2.081 eV/atom
- Magnetic moment: 1.68 μB per formula unit

Geometry as POSCAR:
```
SrTlGe2H
1.0
5.6747 0.0000 0.0000
0.0000 5.6747 0.0000
0.0000 0.0000 6.3770
Sr Tl Ge H
1 1 2 1
Cartesian
0.0000 0.0000 0.0000 Sr
0.0000 0.0000 3.1885 Tl
0.0000 2.8373 0.0000 Ge
2.8373 0.0000 0.0000 Ge
2.8373 2.8373 3.1885 H
```


Record 2
This record from Alexandria via LeMat-Bulk describes crystalline Ta2GeH2 at its relaxed geometry. The functional is PBEsol.

Output
- Density: 13.18 g cm⁻³
- Uncorrected energy: -7.470 eV/atom
- Magnetic moment: 0.00 μB per formula unit

Geometry as POSCAR:
```
Ta2GeH2
1.0
-1.6002 1.6002 5.3677
1.6002 -1.6002 5.3677
1.6002 1.6002 -5.3677
Ta Ge H
2 1 2
Cartesian
0.0000 0.0000 1.4567 Ta
0.0000 0.0000 9.2788 Ta
0.0000 0.0000 5.3677 Ge
1.6002 0.0000 2.6839 H
0.0000 1.6002 2.6839 H
```


Record 3
This record from Alexandria via LeMat-Bulk describes crystalline TaGeH2 at its relaxed geometry. The functional is PBEsol.

Output
- Density: 10.05 g cm⁻³
- Uncorrected energy: -5.902 eV/atom
- Magnetic moment: 0.00 μB per formula unit

Geometry as POSCAR:
```
TaGeH2
1.0
-2.8296 2.8296 2.6363
2.8296 -2.8296 2.6363
2.8296 2.8296 -2.6363
Ta Ge H
2 2 4
Cartesian
0.0000 0.0000 0.0000 Ta
0.0000 2.8296 1.3181 Ta
2.8296 0.0000 1.3181 Ge
0.0000 0.0000 2.6363 Ge
4.2444 1.0067 -0.6591 H
1.0067 1.4148 0.6591 H
-1.4148 1.8229 1.9772 H
1.8229 1.4148 3.2953 H
```


Record 4
This record from Alexandria via LeMat-Bulk describes crystalline TaGeH3 at its relaxed geometry. The functional is PBEsol.

Output
- Density: 9.98 g cm⁻³
- Uncorrected energy: -4.576 eV/atom
- Magnetic moment: 0.00 μB per formula unit

Geometry as POSCAR:
```
TaGeH3
1.0
3.4951 0.0000 0.0000
0.0000 3.4951 0.0000
0.0000 0.0000 3.4951
Ta Ge H
1 1 3
Cartesian
0.0000 0.0000 0.0000 Ta
1.7476 1.7476 1.7476 Ge
0.0000 1.7476 1.7476 H
1.7476 0.0000 1.7476 H
1.7476 1.7476 0.0000 H
```


Record 5
This record from Alexandria via LeMat-Bulk describes crystalline TcGeH3 at its relaxed geometry. The functional is PBEsol.

Output
- Density: 6.75 g cm⁻³
- Uncorrected energy: -4.847 eV/atom
- Magnetic moment: 0.14 μB per formula unit

Geometry as POSCAR:
```
TcGeH3
1.0
3.4954 0.0000 0.0000
0.0000 3.4954 0.0000
0.0000 0.0000 3.4954
Tc Ge H
1 1 3
Cartesian
0.0000 0.0000 0.0000 Tc
1.7477 1.7477 1.7477 Ge
0.0000 0.0000 1.7477 H
0.0000 1.7477 0.0000 H
1.7477 0.0000 0.0000 H
```


Record 6
This record from Alexandria via LeMat-Bulk describes crystalline TiGe2H at its relaxed geometry. The functional is PBEsol.

Output
- Density: 5.61 g cm⁻³
- Uncorrected energy: -4.901 eV/atom
- Magnetic moment: 0.34 μB per formula unit

Geometry as POSCAR:
```
TiGe2H
1.0
0.0000 3.0637 3.0637
3.0637 0.0000 3.0637
3.0637 3.0637 0.0000
Ti Ge H
1 2 1
Cartesian
0.0000 0.0000 0.0000 Ti
1.5319 1.5319 1.5319 Ge
4.5956 4.5956 4.5956 Ge
3.0637 3.0637 3.0637 H
```


Record 7
This record from Alexandria via LeMat-Bulk describes crystalline Ti2GeH at its relaxed geometry. The functional is PBEsol.

Output
- Density: 5.31 g cm⁻³
- Uncorrected energy: -6.343 eV/atom
- Magnetic moment: 0.00 μB per formula unit

Geometry as POSCAR:
```
Ti2GeH
1.0
0.0000 2.9811 2.9811
2.9811 0.0000 2.9811
2.9811 2.9811 0.0000
Ti Ge H
2 1 1
Cartesian
1.4905 1.4905 1.4905 Ti
4.4716 4.4716 4.4716 Ti
0.0000 0.0000 0.0000 Ge
2.9811 2.9811 2.9811 H
```


Record 8
This record from Alexandria via LeMat-Bulk describes crystalline Ti3GeH at its relaxed geometry. The functional is PBEsol.

Output
- Density: 5.69 g cm⁻³
- Relative energy among the computed polymorphs: 0 meV per atom
- Magnetic moment: 0.00 μB per formula unit

Geometry as POSCAR:
```
Ti3GeH
1.0
3.9880 0.0000 0.0000
0.0000 3.9880 0.0000
0.0000 0.0000 3.9880
Ti Ge H
3 1 1
Cartesian
0.0000 0.0000 1.9940 Ti
0.0000 1.9940 0.0000 Ti
1.9940 0.0000 0.0000 Ti
1.9940 1.9940 1.9940 Ge
0.0000 0.0000 0.0000 H
```


Record 9
This record from Alexandria via LeMat-Bulk describes crystalline TlGe2H at its relaxed geometry. The functional is PBEsol.

Output
- Density: 8.09 g cm⁻³
- Uncorrected energy: -3.278 eV/atom
- Magnetic moment: 0.00 μB per formula unit

Geometry as POSCAR:
```
TlGe2H
1.0
0.0000 3.3016 3.3016
3.3016 0.0000 3.3016
3.3016 3.3016 0.0000
Tl Ge H
1 2 1
Cartesian
0.0000 0.0000 0.0000 Tl
1.6508 1.6508 1.6508 Ge
4.9524 4.9524 4.9524 Ge
3.3016 3.3016 3.3016 H
```


Record 10
This record from Alexandria via LeMat-Bulk describes crystalline GeH2W at its relaxed geometry. The functional is PBEsol.

Output
- Density: 11.47 g cm⁻³
- Uncorrected energy: -5.290 eV/atom
- Magnetic moment: 0.15 μB per formula unit

Geometry as POSCAR:
```
GeH2W
1.0
0.0000 2.6548 2.6548
2.6548 0.0000 2.6548
2.6548 2.6548 0.0000
Ge H W
1 2 1
Cartesian
0.0000 0.0000 0.0000 Ge
1.3274 1.3274 1.3274 H
3.9822 3.9822 3.9822 H
2.6548 2.6548 2.6548 W
```


Record 11
This record from Alexandria via LeMat-Bulk describes crystalline Ge2HW2 at its relaxed geometry. The functional is PBEsol.

Output
- Density: 10.33 g cm⁻³
- Uncorrected energy: -7.287 eV/atom
- Magnetic moment: 0.00 μB per formula unit

Geometry as POSCAR:
```
Ge2HW2
1.0
-1.8296 1.8296 6.1728
1.8296 -1.8296 6.1728
1.8296 1.8296 -6.1728
Ge H W
2 1 2
Cartesian
0.0000 0.0000 1.1803 Ge
0.0000 0.0000 11.1653 Ge
0.0000 0.0000 6.1728 H
1.8296 0.0000 3.0864 W
0.0000 1.8296 3.0864 W
```


Record 12
This record from Alexandria via LeMat-Bulk describes crystalline YGeH at its relaxed geometry. The functional is PBEsol.

Output
- Density: 6.04 g cm⁻³
- Uncorrected energy: -5.833 eV/atom
- Magnetic moment: 0.00 μB per formula unit

Geometry as POSCAR:
```
YGeH
1.0
2.0078 -5.6647 0.0000
2.0078 5.6647 0.0000
0.0000 0.0000 3.9313
Y Ge H
2 2 2
Cartesian
2.0078 3.9753 2.9485 Y
2.0078 -3.9753 0.9828 Y
2.0078 0.7651 2.9485 Ge
2.0078 -0.7651 0.9828 Ge
2.0078 2.7806 0.9828 H
2.0078 -2.7806 2.9485 H
```


Record 13
This record from Alexandria via LeMat-Bulk describes crystalline YGeH2 at its relaxed geometry. The functional is PBEsol.

Output
- Density: 5.03 g cm⁻³
- Uncorrected energy: -4.746 eV/atom
- Magnetic moment: 0.00 μB per formula unit

Geometry as POSCAR:
```
YGeH2
1.0
-2.0793 2.0793 6.2455
2.0793 -2.0793 6.2455
2.0793 2.0793 -6.2455
Y Ge H
2 2 4
Cartesian
0.0000 0.0000 0.0000 Y
0.0000 2.0793 3.1227 Y
2.0793 0.0000 3.1227 Ge
0.0000 0.0000 6.2455 Ge
1.0396 -0.9843 4.6841 H
1.0950 1.0396 1.5614 H
1.0396 3.0636 -1.5614 H
0.9843 1.0396 7.8068 H
```


Record 14
This record from Alexandria via LeMat-Bulk describes crystalline Y2Ge2H at its relaxed geometry. The functional is PBEsol.

Output
- Density: 5.18 g cm⁻³
- Uncorrected energy: -5.421 eV/atom
- Magnetic moment: 0.00 μB per formula unit

Geometry as POSCAR:
```
Y2Ge2H
1.0
-1.8254 1.8254 7.7930
1.8254 -1.8254 7.7930
1.8254 1.8254 -7.7930
Y Ge H
2 2 1
Cartesian
0.0000 0.0000 1.6074 Y
0.0000 0.0000 13.9785 Y
1.8254 0.0000 3.8965 Ge
0.0000 1.8254 3.8965 Ge
0.0000 0.0000 7.7930 H
```


Record 15
This record from Alexandria via LeMat-Bulk describes crystalline Zr3GeH at its relaxed geometry. The functional is PBEsol.

Output
- Density: 7.17 g cm⁻³
- Uncorrected energy: -7.604 eV/atom
- Magnetic moment: 0.00 μB per formula unit

Geometry as POSCAR:
```
Zr3GeH
1.0
4.3176 0.0000 0.0000
0.0000 4.3176 0.0000
0.0000 0.0000 4.3176
Zr Ge H
3 1 1
Cartesian
0.0000 0.0000 2.1588 Zr
0.0000 2.1588 0.0000 Zr
2.1588 0.0000 0.0000 Zr
2.1588 2.1588 2.1588 Ge
0.0000 0.0000 0.0000 H
```


Record 16
This record from Alexandria via LeMat-Bulk describes crystalline Hf3Ge at its relaxed geometry. The functional is PBEsol.

Output
- Density: 12.85 g cm⁻³
- DFT formation energy: -0.517 eV/atom
- Magnetic moment: 0.00 μB per formula unit

Geometry as POSCAR:
```
Hf3Ge
1.0
10.8343 0.0000 0.0000
0.0000 10.8343 0.0000
0.0000 0.0000 5.3555
Hf Ge
24 8
Cartesian
0.3655 10.0891 1.3141 Hf
0.7452 5.7827 3.9918 Hf
1.1864 2.9996 0.1559 Hf
1.5523 9.0122 3.8718 Hf
1.8221 6.9695 1.1941 Hf
2.4175 1.1864 2.5219 Hf
2.9996 4.2307 2.5219 Hf
3.5951 9.2820 1.1941 Hf
3.8648 7.2393 3.8718 Hf
4.2307 2.4175 0.1559 Hf
4.6720 10.4688 3.9918 Hf
5.0516 6.1624 1.3141 Hf
5.7827 4.6720 4.0415 Hf
6.1624 0.3655 1.3637 Hf
6.6036 8.4168 5.1996 Hf
6.9695 3.5951 1.4837 Hf
7.2393 1.5523 4.1614 Hf
7.8347 6.6036 2.8337 Hf
8.4168 9.6479 2.8337 Hf
9.0122 3.8648 4.1614 Hf
9.2820 1.8221 1.4837 Hf
9.6479 7.8347 5.1996 Hf
10.0891 5.0516 1.3637 Hf
10.4688 0.7452 4.0415 Hf
0.4963 3.1533 2.8694 Ge
2.2639 0.4963 5.1639 Ge
3.1533 4.9209 5.1639 Ge
4.9209 2.2639 2.8694 Ge
5.9134 8.5704 2.4861 Ge
7.6811 5.9134 0.1917 Ge
8.5704 10.3380 0.1917 Ge
10.3380 7.6811 2.4861 Ge
```


Record 17
This record from Alexandria via LeMat-Bulk describes crystalline Hf2Ge at its relaxed geometry. The functional is PBEsol.

Output
- Density: 12.71 g cm⁻³
- DFT formation energy: -0.719 eV/atom
- Magnetic moment: 0.00 μB per formula unit

Geometry as POSCAR:
```
Hf2Ge
1.0
-3.2738 3.2738 2.6189
3.2738 -3.2738 2.6189
3.2738 3.2738 -2.6189
Hf Ge
4 2
Cartesian
4.2892 1.0154 0.0000 Hf
1.0154 2.2585 0.0000 Hf
2.2585 1.0154 2.6189 Hf
-1.0154 2.2585 2.6189 Hf
0.0000 0.0000 1.3094 Ge
0.0000 0.0000 3.9283 Ge
```


Record 18
This record from Alexandria via LeMat-Bulk describes crystalline Hf3HgGe at its relaxed geometry. The functional is PBEsol.

Output
- Density: 11.56 g cm⁻³
- DFT formation energy: 0.299 eV/atom
- Magnetic moment: 0.00 μB per formula unit

Geometry as POSCAR:
```
Hf3HgGe
1.0
4.8791 0.0000 0.0000
0.0000 4.8791 0.0000
0.0000 0.0000 4.8791
Hf Hg Ge
3 1 1
Cartesian
0.0000 0.0000 2.4396 Hf
0.0000 2.4396 0.0000 Hf
2.4396 0.0000 0.0000 Hf
2.4396 2.4396 2.4396 Hg
0.0000 0.0000 0.0000 Ge
```


Record 19
This record from Alexandria via LeMat-Bulk describes crystalline HfSnHgGe2 at its relaxed geometry. The functional is PBEsol.

Output
- Density: 7.65 g cm⁻³
- DFT formation energy: 1.013 eV/atom
- Relative energy among the computed polymorphs: 522 meV per atom
- Magnetic moment: 0.00 μB per formula unit

Geometry as POSCAR:
```
HfSnHgGe2
1.0
5.0607 0.0000 0.0000
0.0000 5.0607 0.0000
0.0000 0.0000 5.4532
Hf Sn Hg Ge
1 1 1 2
Cartesian
0.0000 0.0000 0.0000 Hf
0.0000 0.0000 2.7266 Sn
2.5304 2.5304 0.0000 Hg
0.0000 2.5304 2.7266 Ge
2.5304 0.0000 2.7266 Ge
```


Record 20
This record from Alexandria via LeMat-Bulk describes crystalline HfSnHgGe2 at its relaxed geometry. The functional is PBEsol.

Output
- Density: 7.70 g cm⁻³
- DFT formation energy: 0.491 eV/atom
- Relative energy among the computed polymorphs: 0 meV per atom
- Magnetic moment: 0.00 μB per formula unit

Geometry as POSCAR:
```
HfSnHgGe2
1.0
5.0846 0.0000 0.0000
0.0000 5.0846 0.0000
0.0000 0.0000 5.3644
Hf Sn Hg Ge
1 1 1 2
Cartesian
0.0000 0.0000 0.0000 Hf
2.5423 2.5423 2.6822 Sn
0.0000 0.0000 2.6822 Hg
0.0000 2.5423 0.0000 Ge
2.5423 0.0000 0.0000 Ge
```


Record 21
This record from Alexandria via LeMat-Bulk describes crystalline HfTlHgGe2 at its relaxed geometry. The functional is PBEsol.

Output
- Density: 8.38 g cm⁻³
- DFT formation energy: 0.361 eV/atom
- Magnetic moment: 0.00 μB per formula unit

Geometry as POSCAR:
```
HfTlHgGe2
1.0
5.1080 0.0000 0.0000
0.0000 5.1080 0.0000
0.0000 0.0000 5.5343
Hf Tl Hg Ge
1 1 1 2
Cartesian
0.0000 0.0000 0.0000 Hf
2.5540 2.5540 2.7672 Tl
0.0000 0.0000 2.7672 Hg
0.0000 2.5540 0.0000 Ge
2.5540 0.0000 0.0000 Ge
```


Record 22
This record from Alexandria via LeMat-Bulk describes crystalline HfGeI3 at its relaxed geometry. The functional is PBEsol.

Output
- Raw formation energy: 0.200 eV per atom
- Density: 6.10 g cm⁻³
- Magnetic moment: 2.09 μB per formula unit

Geometry as POSCAR:
```
HfGeI3
1.0
5.5623 0.0000 0.0000
0.0000 5.5623 0.0000
0.0000 0.0000 5.5623
Hf Ge I
1 1 3
Cartesian
0.0000 0.0000 0.0000 Hf
2.7811 2.7811 2.7811 Ge
0.0000 0.0000 2.7811 I
0.0000 2.7811 0.0000 I
2.7811 0.0000 0.0000 I
```


Record 23
This record from Alexandria via LeMat-Bulk describes crystalline HfGeIO2 at its relaxed geometry. The functional is PBEsol.

Output
- Raw formation energy: -1.287 eV per atom
- Density: 6.94 g cm⁻³
- Magnetic moment: 0.71 μB per formula unit

Geometry as POSCAR:
```
HfGeIO2
1.0
4.0713 0.0000 0.0000
0.0000 4.0713 0.0000
0.0000 0.0000 5.9226
Hf Ge I O
1 1 1 2
Cartesian
0.0000 0.0000 0.0000 Hf
2.0357 2.0357 2.9613 Ge
0.0000 0.0000 2.9613 I
0.0000 2.0357 0.0000 O
2.0357 0.0000 0.0000 O
```


Record 24
This record from Alexandria via LeMat-Bulk describes crystalline HfGePt2I at its relaxed geometry. The functional is PBEsol.

Output
- Raw formation energy: 0.665 eV per atom
- Density: 11.28 g cm⁻³
- Magnetic moment: 0.00 μB per formula unit

Geometry as POSCAR:
```
HfGePt2I
1.0
4.6030 0.0000 0.0000
0.0000 4.6030 0.0000
0.0000 0.0000 5.3363
Hf Ge Pt I
1 1 2 1
Cartesian
0.0000 0.0000 0.0000 Hf
2.3015 2.3015 2.6682 Ge
0.0000 2.3015 2.6682 Pt
2.3015 0.0000 2.6682 Pt
2.3015 2.3015 0.0000 I
```


Record 25
This record from Alexandria via LeMat-Bulk describes crystalline Hf3InGe at its relaxed geometry. The functional is PBEsol.

Output
- Density: 10.27 g cm⁻³
- DFT formation energy: 0.216 eV/atom
- Magnetic moment: 0.00 μB per formula unit

Geometry as POSCAR:
```
Hf3InGe
1.0
4.8899 0.0000 0.0000
0.0000 4.8899 0.0000
0.0000 0.0000 4.8899
Hf In Ge
3 1 1
Cartesian
0.0000 0.0000 2.4450 Hf
0.0000 2.4450 0.0000 Hf
2.4450 0.0000 0.0000 Hf
2.4450 2.4450 2.4450 In
0.0000 0.0000 0.0000 Ge
```


Record 26
This record from Alexandria via LeMat-Bulk describes crystalline HfIn3Ge at its relaxed geometry. The functional is PBEsol.

Output
- Density: 6.19 g cm⁻³
- DFT formation energy: 0.879 eV/atom
- Magnetic moment: 0.00 μB per formula unit

Geometry as POSCAR:
```
HfIn3Ge
1.0
5.4276 0.0000 0.0000
0.0000 5.4276 0.0000
0.0000 0.0000 5.4276
Hf In Ge
1 3 1
Cartesian
0.0000 0.0000 0.0000 Hf
0.0000 0.0000 2.7138 In
0.0000 2.7138 0.0000 In
2.7138 0.0000 0.0000 In
2.7138 2.7138 2.7138 Ge
```


Record 27
This record from Alexandria via LeMat-Bulk describes crystalline Hf2InGeSe at its relaxed geometry. The functional is PBEsol.

Output
- Raw formation energy: 1.153 eV per atom
- Density: 7.78 g cm⁻³
- Magnetic moment: 0.01 μB per formula unit

Geometry as POSCAR:
```
Hf2InGeSe
1.0
5.3258 0.0000 0.0000
0.0000 5.3258 0.0000
0.0000 0.0000 4.6920
Hf In Ge Se
2 1 1 1
Cartesian
0.0000 2.6629 0.0000 Hf
2.6629 0.0000 0.0000 Hf
0.0000 0.0000 0.0000 In
0.0000 0.0000 2.3460 Ge
2.6629 2.6629 2.3460 Se
```